Entry 1:
The following is a PBE-GGA calculation of AcYTlPb after structural relaxation, from Alexandria.

Calculated values
Formation enthalpy at 0 K in eV per atom: -0.380
Energy in eV per cell: -18.2
Magnetization in μB/f.u.: 0.00

POSCAR file:
```
AcYTlPb
1.0
-2.5724 -1.9155 4.6570
-0.2664 -5.5592 0.9992
3.0512 -2.2699 4.1847
Pb Y Ac Tl
1 1 1 1
Direct
0.5000 0.5000 0.5000 Pb
0.7500 0.7500 0.7500 Y
0.2500 0.2500 0.2500 Ac
0.0000 0.0000 0.0000 Tl
```



Entry 2:
The following is a PBE-GGA calculation of CeTl3Te6Pb2 after structural relaxation, from Alexandria.

Calculated values
Formation energy without anion corrections in eV per atom: -0.55
Energy in eV per cell: -45.9
Magnetization in μB/f.u.: 0.00

POSCAR file:
```
CeTl3Te6Pb2
1.0
-1.4370 7.2069 -3.2467
-4.6504 -2.7025 5.9679
6.7600 1.7957 4.2885
Ce Tl Te Pb
1 3 6 2
Direct
0.0000 0.0000 0.0000 Ce
0.1709 0.8291 0.5000 Tl
0.8291 0.1709 0.5000 Tl
0.5000 0.5000 0.5000 Tl
0.9256 0.6071 0.7738 Te
0.7618 0.7618 0.2334 Te
0.0744 0.3929 0.2262 Te
0.6071 0.9256 0.7738 Te
0.2382 0.2382 0.7666 Te
0.3929 0.0744 0.2262 Te
0.3352 0.6648 0.0000 Pb
0.6648 0.3352 0.0000 Pb
```



Entry 3:
The following is a PBE-GGA calculation of Bi3SbPt12 after structural relaxation, from Alexandria.

Calculated values
Formation energy without anion corrections in eV per atom: -0.04
Energy in eV per cell: -88.8
Magnetization in μB/f.u.: 0.00

POSCAR file:
```
Bi3SbPt12
1.0
4.1703 0.0000 0.0000
0.0000 4.1703 0.0000
0.0000 0.0000 16.5149
Bi Sb Pt
3 1 12
Direct
0.0000 0.0000 0.2479 Bi
0.0000 0.0000 0.5000 Bi
0.0000 0.0000 0.7521 Bi
0.0000 0.0000 0.0000 Sb
0.5000 0.5000 0.0000 Pt
0.5000 0.5000 0.2428 Pt
0.5000 0.5000 0.5000 Pt
0.5000 0.5000 0.7572 Pt
0.5000 0.0000 0.1168 Pt
0.5000 0.0000 0.3726 Pt
0.5000 0.0000 0.6274 Pt
0.5000 0.0000 0.8832 Pt
0.0000 0.5000 0.1168 Pt
0.0000 0.5000 0.3726 Pt
0.0000 0.5000 0.6274 Pt
0.0000 0.5000 0.8832 Pt
```



Entry 4:
The following is a PBE-GGA calculation of TaTlAs2 after structural relaxation, from Alexandria.

Calculated values
Formation enthalpy at 0 K in eV per atom: 0.377
ΔE to the lowest computed polymorph in eV per atom: 0.5179
Energy in eV per cell: -22.0
Magnetization in μB/f.u.: 0.00

POSCAR file:
```
TaTlAs2
1.0
-1.5636 -2.5774 0.4996
2.9713 -0.6819 0.2086
-0.2146 1.9736 9.5100
Tl As Ta
1 2 1
Direct
0.5000 0.5000 0.7376 Tl
0.0000 0.0000 0.9839 As
0.5000 0.5000 0.2929 As
0.0000 0.0000 0.4856 Ta
```



Entry 5:
The following is a PBE-GGA calculation of Si2I13 after structural relaxation, from Alexandria.

Calculated values
Formation energy without anion corrections in eV per atom: -0.15
Energy in eV per cell: -33.2
Magnetization in μB/f.u.: 0.98

POSCAR file:
```
Si2I13
1.0
7.4435 -0.9193 2.1772
-1.8559 15.9693 -2.5177
2.0345 -7.4577 9.8134
Si I
2 13
Direct
0.7761 0.7989 0.5547 Si
0.2239 0.2011 0.4453 Si
0.6713 0.6498 0.1202 I
0.3287 0.3502 0.8798 I
0.0000 0.0000 0.0000 I
0.1200 0.7476 0.3856 I
0.8800 0.2524 0.6144 I
0.7114 0.6541 0.8936 I
0.2886 0.3459 0.1064 I
0.5955 0.6296 0.3805 I
0.4045 0.3704 0.6195 I
0.7002 0.8191 0.7888 I
0.2998 0.1809 0.2112 I
0.6638 0.9836 0.6673 I
0.3362 0.0164 0.3327 I
```



Question: Among the records above, which one has the highest magnetization?
Answer: Si2I13